# Np3Tl2O10 PBE relaxed
data_Np3Tl2O10
_cell_length_a 6.8011
_cell_length_b 8.5063
_cell_length_c 10.4645
_cell_angle_alpha 111.62
_cell_angle_beta 108.96
_cell_angle_gamma 90.00
_space_group_name_H-M_alt 'P 1'
_space_group_IT_number 1
_space_group_name_Hall 'P 1'
loop_
_atom_site_label
_atom_site_type_symbol
_atom_site_fract_x
_atom_site_fract_y
_atom_site_fract_z
Np1 Np 0.9199 0.5259 0.8399
Np2 Np 0.0801 0.4741 0.1601
Np3 Np 0.8152 0.9891 0.6303
Np4 Np 0.1848 0.0109 0.3697
Np5 Np 0.7484 0.0000 0.0000
Np6 Np 0.2516 0.0000 0.0000
Tl1 Tl 0.6994 0.3410 0.3988
Tl2 Tl 0.3006 0.6590 0.6012
Tl3 Tl 0.6079 0.7283 0.2159
Tl4 Tl 0.3921 0.2717 0.7841
O1 O 0.6565 0.9849 0.7958
O2 O 0.1393 0.9849 0.7958
O3 O 0.3435 0.0151 0.2042
O4 O 0.8607 0.0151 0.2042
O5 O 0.6486 0.5303 0.7175
O6 O 0.0689 0.5303 0.7175
O7 O 0.3514 0.4697 0.2825
O8 O 0.9311 0.4697 0.2825
O9 O 0.9761 0.8257 0.9522
O10 O 0.0239 0.1743 0.0478
O11 O 0.8632 0.2320 0.7265
O12 O 0.1368 0.7680 0.2735
O13 O 0.7723 0.7559 0.5446
O14 O 0.2277 0.2441 0.4554
O15 O 0.4781 0.8372 0.9561
O16 O 0.5219 0.1628 0.0439
O17 O 0.8112 0.5000 0.0000
O18 O 0.1888 0.5000 0.0000
O19 O 0.5000 0.0000 0.5000
O20 O 0.0000 0.0000 0.5000
# Size of the total moment ... 2.23 μB per cell
# Density of states at the Fermi level ... 18.7 states/eV/cell
# VASP energy ... -128.28 eV/f.u.
# Energy relative to the elements, uncorrected ... -35.14 eV/f.u.
# V ... 17.58 Å³ per atom